This record from Alexandria via LeMat-Bulk describes a relaxed structure of ZnTe4. The functional is GGA-PBE.

Results
Relative energy among the computed polymorphs: 136 meV per atom
Space group: I4/m, No. 87
Formation energy without anion corrections: 0.16 eV/atom

Structure (POSCAR):
```
ZnTe4
1.0
6.446 -1.338 2.009
-6.687 0.439 1.571
-0.686 -5.919 -3.444
Te Zn
4 1
direct
0.276 0.627 0.903
0.373 0.276 0.650
0.724 0.373 0.097
0.627 0.724 0.350
0.000 0.000 0.000
```